[1]
## SrCa2Y (PBE-GGA)

Data for a relaxed structure of SrCa2Y.

space-group type	Cmmm
relative energy among the computed polymorphs	53	meV per atom
total moment	0.18	μB/atom

a = 6.724 Å, b = 6.724 Å, c = 3.876 Å
α = 90.00°, β = 90.00°, γ = 108.37°
Fractional positions:
Sr (0.000, 0.000, 0.000)
Ca (0.000, 0.500, 0.500)
Ca (0.500, 0.000, 0.500)
Y (0.500, 0.500, 0.000)

=====

[2]
## SrCa2YZn (PBE-GGA)

Data for a relaxed structure of SrCa2YZn.

space-group type	P4/mmm
electronic total energy	-13.146	eV/cell
total moment	0.00	μB/atom

a = 5.877 Å, b = 5.877 Å, c = 5.632 Å
α = 90.00°, β = 90.00°, γ = 90.00°
Fractional positions:
Sr (0.000, 0.000, 0.000)
Ca (0.000, 0.500, 0.500)
Ca (0.500, 0.000, 0.500)
Y (0.500, 0.500, 0.000)
Zn (0.500, 0.500, 0.500)

=====

[3]
## SrCaZn3 (PBE-GGA)

Data for a relaxed structure of SrCaZn3.

space-group type	Pm-3m
relative energy among the computed polymorphs	787	meV per atom
total moment	0.00	μB/atom

a = 5.656 Å, b = 5.656 Å, c = 5.656 Å
α = 90.00°, β = 90.00°, γ = 90.00°
Fractional positions:
Sr (0.000, 0.000, 0.000)
Ca (0.500, 0.500, 0.500)
Zn (0.000, 0.000, 0.500)
Zn (0.000, 0.500, 0.000)
Zn (0.500, 0.000, 0.000)

=====

[4]
## Sr2CaZn (PBE-GGA)

Data for a relaxed structure of Sr2CaZn.

space-group type	F-43m
electronic total energy	-6.203	eV/cell
total moment	0.00	μB/atom

a = 5.918 Å, b = 5.918 Å, c = 5.918 Å
α = 60.00°, β = 60.00°, γ = 60.00°
Fractional positions:
Sr (0.000, 0.000, 0.000)
Sr (0.250, 0.250, 0.250)
Ca (0.500, 0.500, 0.500)
Zn (0.750, 0.750, 0.750)

=====

[5]
## Sr2CaZn (PBE-GGA)

Data for a relaxed structure of Sr2CaZn.

space-group type	I-4m2
electronic total energy	-6.262	eV/cell
total moment	0.00	μB/atom

a = 6.824 Å, b = 6.824 Å, c = 6.824 Å
α = 135.14°, β = 135.14°, γ = 65.32°
Fractional positions:
Sr (0.000, 0.000, 0.000)
Sr (0.750, 0.250, 0.500)
Ca (0.500, 0.500, 0.000)
Zn (0.250, 0.750, 0.500)

=====

[6]
## SrCa2Zn9 (PBE-GGA)

Data for a relaxed structure of SrCa2Zn9.

space-group type	R-3m
electronic total energy	-19.949	eV/cell
total moment	0.00	μB/atom

a = 9.233 Å, b = 9.233 Å, c = 9.233 Å
α = 35.41°, β = 35.41°, γ = 35.41°
Fractional positions:
Sr (0.000, 0.000, 0.000)
Ca (0.144, 0.144, 0.144)
Ca (0.856, 0.856, 0.856)
Zn (0.076, 0.586, 0.586)
Zn (0.335, 0.335, 0.335)
Zn (0.414, 0.414, 0.924)
Zn (0.414, 0.924, 0.414)
Zn (0.500, 0.500, 0.500)
Zn (0.586, 0.076, 0.586)
Zn (0.586, 0.586, 0.076)
Zn (0.665, 0.665, 0.665)
Zn (0.924, 0.414, 0.414)

=====

Q: Which value of total moment does entry 6 give?
A: 0.00 μB/atom